# 1
AlAgSeO PBE-GGA relaxed; offset from the most stable computed form = 359.3 meV per atom
1.0
3.665 0.000 0.000
0.000 3.665 0.000
0.000 0.000 9.228
Ag Al O Se
2 2 2 2
direct
0.750 0.250 0.500 Ag
0.250 0.750 0.500 Ag
0.250 0.250 0.084 Al
0.750 0.750 0.916 Al
0.750 0.250 0.000 O
0.250 0.750 0.000 O
0.750 0.750 0.273 Se
0.250 0.250 0.727 Se

# 2
AlAgSeO PBE-GGA relaxed; offset from the most stable computed form = 0.0 meV per atom
1.0
5.284 0.000 0.384
0.000 4.986 0.000
0.427 0.000 10.418
Ag Al O Se
4 4 4 4
direct
0.912 0.325 0.429 Ag
0.624 0.814 0.460 Ag
0.376 0.314 0.540 Ag
0.088 0.825 0.571 Ag
0.044 0.745 0.065 Al
0.426 0.264 0.098 Al
0.574 0.764 0.902 Al
0.956 0.245 0.935 Al
0.346 0.578 0.017 O
0.129 0.094 0.061 O
0.871 0.594 0.939 O
0.654 0.078 0.983 O
0.745 0.542 0.223 Se
0.290 0.039 0.328 Se
0.710 0.539 0.672 Se
0.255 0.042 0.777 Se

# 3
TbAl2AgO6 | PBE-GGA | relaxed

POSCAR file:
```
TbAl2AgO6
1.0
0.000 4.070 4.070
4.070 0.000 4.070
4.070 4.070 0.000
Ag Al O Tb
1 2 6 1
direct
0.500 0.500 0.500 Ag
0.250 0.250 0.250 Al
0.750 0.750 0.750 Al
0.738 0.262 0.262 O
0.262 0.738 0.262 O
0.738 0.738 0.262 O
0.262 0.262 0.738 O
0.262 0.738 0.738 O
0.738 0.262 0.738 O
0.000 0.000 0.000 Tb
```

| no. | E_tot (Ry/atom) |
| --- | --- |
| 1 | -0.3461 |
| 2 | -0.3725 |
| 3 | -0.3756 |